Compound: SrSiHg4
Source: Alexandria
Functional: PBEsol
Structure: optimized geometry

Results
crystal system = cubic
E = -1.6534 eV/atom
total moment = 0.000 μB/atom

a = 8.366 Å, b = 8.366 Å, c = 8.366 Å
α = 90.00°, β = 90.00°, γ = 90.00°
Space group F-43m (No. 216)
Symmetry-distinct sites (fractional):
Sr: 0.000 0.000 0.000
Si: 0.250 0.250 0.750
Hg: 0.125 0.125 0.375